4
Lattice="-2.971 -0.713 1.323 -1.642 -0.184 -3.789 1.181 -5.361 -0.251" Properties=species:S:1:pos:R:3 comment="Zn2AgSb, single point on PBEsol structure, DFT meta-GGA SCAN" total_energy_ev_per_atom=-23.776 raw_formation_energy_ev_per_atom=0.14 total_magnetization_mub_per_fu=0.00 vol_a3_per_cell=75.6 pbc="T T T"
Zn -0.249 -0.641 0.139
Zn -2.468 -1.488 -1.113
Sb -0.322 -4.137 -1.914
Ag -1.289 -3.031 0.706



5
Lattice="-5.123 -2.197 -2.225 1.160 -1.271 5.750 0.320 5.970 0.537" Properties=species:S:1:pos:R:3 comment="Sr2Cd2Ga, single point on PBEsol structure, DFT meta-GGA SCAN" total_energy_ev_per_atom=-24.475 total_magnetization_mub_per_fu=0.00 vol_a3_per_cell=160.4 pbc="T T T"
Cd 0.494 1.570 2.100
Cd 0.986 3.129 4.187
Ga 0.000 0.000 0.000
Sr -1.611 -0.559 3.334
Sr -2.032 3.061 0.727



4
Lattice="-0.421 -0.787 -2.900 1.028 -2.789 0.607 -5.612 -1.786 1.299" Properties=species:S:1:pos:R:3 comment="CrTc2W, single point on PBEsol structure, DFT meta-GGA SCAN" total_energy_ev_per_atom=-39.544 total_magnetization_mub_per_fu=1.66 vol_a3_per_cell=55.5 pbc="T T T"
Cr -2.502 -2.681 -0.497
Tc -1.461 -0.465 0.338
Tc -4.150 -1.321 0.961
W 0.304 -1.788 -1.146